VASP calculation (PBE-GGA) on a geometry-optimized Cs3CdBr structure.

Results
Theoretical density (Mg/m³): 2.8
Uncorrected formation energy (meV/atom): -609
Total magnetization (μB/cell): 0.00
Volume (Å³ per atom): 70.34
Polymorph energy (0 for the lowest one) (eV per formula unit): 0.000

a = 7.0587 Å, b = 7.0587 Å, c = 7.0587 Å
α = 90.00°, β = 90.00°, γ = 90.00°
Space group Pm-3m (No. 221)
Asymmetric unit:
Cs  0.0000  0.0000  0.5000
Cd  0.5000  0.5000  0.5000
Br  0.0000  0.0000  0.0000

***

VASP calculation (PBE-GGA) on a geometry-optimized BeCIO2 structure.

Results
Theoretical density (Mg/m³): 4.0
Uncorrected formation energy (meV/atom): 544
Total magnetization (μB/cell): 1.42
Volume (Å³ per atom): 14.87
Polymorph energy (0 for the lowest one) (eV per formula unit): 0.000

a = 3.2908 Å, b = 3.2908 Å, c = 6.8637 Å
α = 90.00°, β = 90.00°, γ = 90.00°
Space group P4/mmm (No. 123)
Asymmetric unit:
Be  0.0000  0.0000  0.0000
C  0.5000  0.5000  0.5000
I  0.0000  0.0000  0.5000
O  0.0000  0.5000  0.0000